*P*
TbErCu | PBE-GGA | relaxed

abc: 6.615 6.615 6.615
angles: 149.66 149.66 43.45
Fractional positions:
Tb (0.000, 0.000, 0.000)
Er (0.278, 0.278, 0.000)
Cu (0.645, 0.645, 0.000)



*Q*
TbErCu | PBE-GGA | relaxed

abc: 6.898 4.884 8.666
angles: 90.00 90.00 90.00
Fractional positions:
Tb (0.015, 0.250, 0.174)
Tb (0.485, 0.750, 0.674)
Tb (0.515, 0.250, 0.326)
Tb (0.985, 0.750, 0.826)
Er (0.143, 0.250, 0.584)
Er (0.357, 0.750, 0.084)
Er (0.643, 0.250, 0.916)
Er (0.857, 0.750, 0.416)
Cu (0.243, 0.250, 0.900)
Cu (0.257, 0.750, 0.400)
Cu (0.743, 0.250, 0.600)
Cu (0.757, 0.750, 0.100)



Verdict on stability: *Q* comes out on top.



*P*
Er2CuTe | PBE-GGA | relaxed

abc: 11.537 11.537 4.376
angles: 90.00 90.00 160.04
Fractional positions:
Er (0.058, 0.942, 0.750)
Er (0.339, 0.661, 0.750)
Er (0.661, 0.339, 0.250)
Er (0.942, 0.058, 0.250)
Cu (0.466, 0.534, 0.750)
Cu (0.534, 0.466, 0.250)
Te (0.196, 0.804, 0.750)
Te (0.804, 0.196, 0.250)



*Q*
Er2CuTe | PBE-GGA | relaxed

abc: 7.651 7.651 7.651
angles: 30.69 30.69 30.69
Fractional positions:
Er (0.240, 0.240, 0.240)
Er (0.760, 0.760, 0.760)
Cu (0.500, 0.500, 0.500)
Te (0.000, 0.000, 0.000)



*R*
Er2CuTe | PBE-GGA | relaxed

abc: 3.736 3.736 6.777
angles: 90.00 90.00 90.00
Fractional positions:
Er (0.000, 0.000, 0.235)
Er (0.000, 0.000, 0.765)
Cu (0.500, 0.500, 0.000)
Te (0.500, 0.500, 0.500)



Verdict on stability: *P* comes out on top.



*P*
ErCu3Te3 | PBE-GGA | relaxed

abc: 6.919 7.630 12.838
angles: 90.00 90.00 90.00
Fractional positions:
Er (0.000, 0.000, 0.161)
Er (0.000, 0.000, 0.839)
Er (0.500, 0.500, 0.339)
Er (0.500, 0.500, 0.661)
Cu (0.124, 0.368, 0.175)
Cu (0.124, 0.368, 0.825)
Cu (0.128, 0.373, 0.500)
Cu (0.372, 0.873, 0.000)
Cu (0.376, 0.868, 0.325)
Cu (0.376, 0.868, 0.675)
Cu (0.624, 0.132, 0.325)
Cu (0.624, 0.132, 0.675)
Cu (0.628, 0.127, 0.000)
Cu (0.872, 0.627, 0.500)
Cu (0.876, 0.632, 0.175)
Cu (0.876, 0.632, 0.825)
Te (0.235, 0.183, 0.337)
Te (0.235, 0.183, 0.663)
Te (0.248, 0.199, 0.000)
Te (0.252, 0.699, 0.500)
Te (0.265, 0.683, 0.163)
Te (0.265, 0.683, 0.837)
Te (0.735, 0.317, 0.163)
Te (0.735, 0.317, 0.837)
Te (0.748, 0.301, 0.500)
Te (0.752, 0.801, 0.000)
Te (0.765, 0.817, 0.337)
Te (0.765, 0.817, 0.663)



*Q*
ErCu3Te3 | PBE-GGA | relaxed

abc: 8.206 8.206 8.206
angles: 53.82 53.82 53.82
Fractional positions:
Er (0.162, 0.162, 0.162)
Er (0.838, 0.838, 0.838)
Cu (0.024, 0.349, 0.748)
Cu (0.252, 0.976, 0.651)
Cu (0.349, 0.748, 0.024)
Cu (0.651, 0.252, 0.976)
Cu (0.748, 0.024, 0.349)
Cu (0.976, 0.651, 0.252)
Te (0.099, 0.730, 0.428)
Te (0.270, 0.572, 0.901)
Te (0.428, 0.099, 0.730)
Te (0.572, 0.901, 0.270)
Te (0.730, 0.428, 0.099)
Te (0.901, 0.270, 0.572)



Verdict on stability: *P* comes out on top.



*P*
ErTh2Cu | PBE-GGA | relaxed

abc: 3.548 3.548 8.741
angles: 90.00 90.00 90.00
Fractional positions:
Er (0.000, 0.000, 0.000)
Th (0.500, 0.500, 0.292)
Th (0.500, 0.500, 0.708)
Cu (0.000, 0.000, 0.500)



*Q*
ErTh2Cu | PBE-GGA | relaxed

abc: 10.203 10.203 10.203
angles: 20.39 20.39 20.39
Fractional positions:
Er (0.000, 0.000, 0.000)
Th (0.238, 0.238, 0.238)
Th (0.762, 0.762, 0.762)
Cu (0.500, 0.500, 0.500)



Verdict on stability: *P* comes out on top.



*P*
Er4TlCu | PBE-GGA | relaxed

abc: 7.201 7.328 6.700
angles: 90.00 95.10 90.00
Fractional positions:
Er (0.144, 0.167, 0.174)
Er (0.144, 0.333, 0.674)
Er (0.325, 0.644, 0.095)
Er (0.325, 0.856, 0.595)
Er (0.675, 0.144, 0.405)
Er (0.675, 0.356, 0.905)
Er (0.856, 0.667, 0.326)
Er (0.856, 0.833, 0.826)
Tl (0.500, 0.000, 0.000)
Tl (0.500, 0.500, 0.500)
Cu (0.000, 0.000, 0.500)
Cu (0.000, 0.500, 0.000)



*Q*
Er4TlCu | PBE-GGA | relaxed

abc: 5.343 6.990 8.565
angles: 90.00 99.91 90.00
Fractional positions:
Er (0.144, 0.250, 0.052)
Er (0.216, 0.750, 0.370)
Er (0.319, 0.513, 0.751)
Er (0.319, 0.987, 0.751)
Er (0.681, 0.013, 0.249)
Er (0.681, 0.487, 0.249)
Er (0.784, 0.250, 0.630)
Er (0.856, 0.750, 0.948)
Tl (0.228, 0.250, 0.421)
Tl (0.772, 0.750, 0.579)
Cu (0.365, 0.750, 0.050)
Cu (0.635, 0.250, 0.950)



Verdict on stability: *Q* comes out on top.



*P*
Er4TlCu2 | PBE-GGA | relaxed

abc: 8.445 8.445 8.445
angles: 34.31 34.31 34.31
Fractional positions:
Er (0.113, 0.113, 0.113)
Er (0.367, 0.367, 0.367)
Er (0.633, 0.633, 0.633)
Er (0.887, 0.887, 0.887)
Tl (0.500, 0.500, 0.500)
Cu (0.247, 0.247, 0.247)
Cu (0.753, 0.753, 0.753)



*Q*
Er4TlCu2 | PBE-GGA | relaxed

abc: 9.504 9.504 9.504
angles: 29.31 29.31 29.31
Fractional positions:
Er (0.115, 0.115, 0.115)
Er (0.298, 0.298, 0.298)
Er (0.702, 0.702, 0.702)
Er (0.885, 0.885, 0.885)
Tl (0.500, 0.500, 0.500)
Cu (0.400, 0.400, 0.400)
Cu (0.600, 0.600, 0.600)



Verdict on stability: *P* comes out on top.